No. 1
# CuSiPt4 | Alexandria | PBE-GGA | optimized geometry
data_CuSiPt4
_cell_length_a 7.4277
_cell_length_b 7.4277
_cell_length_c 7.4277
_cell_angle_alpha 90.00
_cell_angle_beta 90.00
_cell_angle_gamma 90.00
_space_group_name_H-M_alt 'F -4 3 m'
_space_group_IT_number 216
_space_group_name_Hall 'F -4 2 3'
loop_
_atom_site_label
_atom_site_fract_x
_atom_site_fract_y
_atom_site_fract_z
Cu1 0.0000 0.0000 0.0000
Si1 0.2500 0.2500 0.2500
Pt1 0.1251 0.1251 0.6251
# * electronic total energy: -129.03 eV for the cell shown

***

No. 2
# CuSi2Pt2 | Alexandria | PBE-GGA | optimized geometry
data_CuSi2Pt2
_cell_length_a 7.0722
_cell_length_b 7.0722
_cell_length_c 2.9816
_cell_angle_alpha 90.00
_cell_angle_beta 90.00
_cell_angle_gamma 90.00
_space_group_name_H-M_alt 'P 4/m b m'
_space_group_IT_number 127
_space_group_name_Hall '-P 4 2ab'
loop_
_atom_site_label
_atom_site_fract_x
_atom_site_fract_y
_atom_site_fract_z
Cu1 0.0000 0.0000 0.0000
Si1 0.1570 0.3430 0.5000
Pt1 0.1439 0.6439 0.0000
# * electronic total energy: -56.39 eV for the cell shown

***

No. 3
# CuSiPt2 | Alexandria | PBE-GGA | optimized geometry
data_CuSiPt2
_cell_length_a 2.8255
_cell_length_b 3.9942
_cell_length_c 5.1251
_cell_angle_alpha 90.00
_cell_angle_beta 90.00
_cell_angle_gamma 90.00
_space_group_name_H-M_alt 'P m m 2'
_space_group_IT_number 25
loop_
_space_group_symop_operation_xyz
'x,y,z'
'-x,-y,z'
'-x,y,z'
'x,-y,z'
loop_
_atom_site_label
_atom_site_fract_x
_atom_site_fract_y
_atom_site_fract_z
Cu1 0.0000 0.0000 0.0000
Si1 0.5000 0.5000 0.6715
Pt1 0.0000 0.0000 0.5053
Pt2 0.5000 0.5000 0.1457
# * electronic total energy: -22.79 eV for the cell shown

***

Number 1: formation energy without anion corrections 238 meV/atom, M_tot 0.000 μB/cell. Number 2: formation energy without anion corrections -234 meV/atom, M_tot 0.000 μB/cell. Number 3: formation energy without anion corrections -298 meV/atom, M_tot 0.000 μB/cell.